Hg3N2F after structural relaxation, computed with GGA-PBE.

Cell lengths 4.1371, 5.6195, 17.2887 Å; angles 130.53, 118.57, 90.01 degrees
Site moments in Bohr magnetons follow the coordinates.
Sites, in units of the cell vectors:
1 Hg 0.2934 0.2866 0.5182  0.03
2 Hg 0.7780 0.7859 0.0179  0.03
3 Hg 0.7066 0.7134 0.4818  0.03
4 Hg 0.2220 0.2141 0.9821  0.03
5 Hg 0.2620 0.7502 0.2501  0.03
6 Hg 0.7380 0.2498 0.7499  0.03
7 N 0.8524 0.3415 0.0457  0.34
8 N 0.6691 0.1591 0.4545  0.34
9 N 0.1476 0.6585 0.9543  0.34
10 N 0.3309 0.8409 0.5455  0.34
11 F 0.1398 0.2514 0.2500  0.00
12 F 0.8602 0.7486 0.7500  0.00

Results
The calculation puts the raw formation energy at 0.52 eV/atom. The density of states at the Fermi level is 0.25 states/eV/atom.

HgN2F6 after structural relaxation, computed with GGA-PBE.

Cell lengths 7.9442, 6.3685, 7.9442 Å; angles 70.87, 84.08, 70.87 degrees
Site moments in Bohr magnetons follow the coordinates.
Sites, in units of the cell vectors:
1 Hg 0.9204 0.7500 0.0796  0.00
2 Hg 0.0796 0.2500 0.9204  0.00
3 N 0.4585 0.6275 0.2831  0.59
4 N 0.7169 0.8725 0.5415  0.59
5 N 0.5415 0.3725 0.7169  0.59
6 N 0.2831 0.1275 0.4585  0.59
7 F 0.1974 0.3175 0.5192  0.09
8 F 0.4808 0.1825 0.8026  0.09
9 F 0.8026 0.6825 0.4808  0.09
10 F 0.5192 0.8175 0.1974  0.09
11 F 0.1913 0.9720 0.5394  0.10
12 F 0.4606 0.5280 0.8087  0.10
13 F 0.8087 0.0280 0.4606  0.10
14 F 0.5394 0.4720 0.1913  0.10
15 F 0.1899 0.8961 0.0051  0.00
16 F 0.9949 0.6039 0.8101  0.00
17 F 0.8101 0.1039 0.9949  0.00
18 F 0.0051 0.3961 0.1899  0.00

Results
The calculation puts the raw formation energy at -0.47 eV/atom. The density of states at the Fermi level is 0.00 states/eV/atom.

Hg4N2F5 after structural relaxation, computed with GGA-PBE.

Cell lengths 3.3727, 8.1923, 12.8735 Å; angles 127.80, 122.43, 77.69 degrees
Sites, in units of the cell vectors:
1 Hg 0.8017 0.8280 0.3558
2 Hg 0.9032 0.2326 0.0083
3 Hg 0.1983 0.1720 0.6442
4 Hg 0.0968 0.7674 0.9917
5 N 0.0489 0.4217 0.4837
6 N 0.9511 0.5783 0.5163
7 F 0.6419 0.4716 0.1856
8 F 0.3581 0.5284 0.8144
9 F 0.9302 0.7915 0.1640
10 F 0.5000 0.0000 0.0000
11 F 0.0698 0.2085 0.8360

Results
The calculation puts the raw formation energy at -0.95 eV/atom. The density of states at the Fermi level is 0.06 states/eV/atom.